1.
VASP calculation (PBE-GGA) on a relaxed structure of CaHg11.

a = 9.904 Å, b = 9.904 Å, c = 9.904 Å
α = 90.00°, β = 90.00°, γ = 90.00°
Element x y z (fractional)
Hg 0.657 0.000 0.343
Hg 0.500 0.737 0.737
Hg 0.847 0.153 0.847
Hg 0.263 0.500 0.737
Hg 0.263 0.737 0.500
Hg 0.263 0.263 0.500
Hg 0.657 0.657 0.000
Hg 0.153 0.847 0.847
Hg 0.000 0.657 0.343
Hg 0.000 0.343 0.343
Hg 0.737 0.263 0.500
Hg 0.737 0.500 0.737
Hg 0.657 0.343 0.000
Hg 0.343 0.343 0.000
Hg 0.153 0.847 0.153
Hg 0.847 0.847 0.153
Hg 0.500 0.737 0.263
Hg 0.343 0.000 0.343
Hg 0.847 0.153 0.153
Hg 0.153 0.153 0.847
Hg 0.737 0.500 0.263
Hg 0.847 0.847 0.847
Hg 0.500 0.263 0.263
Hg 0.500 0.263 0.737
Hg 0.343 0.657 0.000
Hg 0.500 0.500 0.500
Hg 0.657 0.000 0.657
Hg 0.000 0.343 0.657
Hg 0.153 0.153 0.153
Hg 0.737 0.737 0.500
Hg 0.000 0.657 0.657
Hg 0.263 0.500 0.263
Hg 0.343 0.000 0.657
Ca 0.000 0.500 0.000
Ca 0.000 0.000 0.500
Ca 0.500 0.000 0.000

Results
As for the crystal system: cubic. For the density of states at the Fermi level, the calculation gives 4.44 states/eV/f.u. For the formation energy, the calculation gives -0.7 eV per formula unit.

=====

2.
VASP calculation (PBE-GGA) on a relaxed structure of In2TeN.

a = 5.049 Å, b = 5.049 Å, c = 5.049 Å
α = 60.00°, β = 60.00°, γ = 60.00°
Element x y z (fractional)
N 0.000 0.000 0.000
In 0.250 0.250 0.250
In 0.750 0.750 0.750
Te 0.500 0.500 0.500

Results
The uncorrected formation energy is 951 meV per atom. As for the crystal system: cubic. The calculation puts the polymorph energy (0 for the lowest one) at 840 meV/atom. For the density of states at the Fermi level, the calculation gives 1.69 states/eV/f.u.

=====

3.
VASP calculation (PBE-GGA) on a relaxed structure of Pm6NpSe8.

a = 8.363 Å, b = 8.363 Å, c = 8.363 Å
α = 60.00°, β = 60.00°, γ = 60.00°
Element x y z (fractional)
Se 0.750 0.750 0.250
Se 0.250 0.750 0.250
Se 0.250 0.250 0.250
Se 0.750 0.250 0.750
Se 0.250 0.750 0.750
Se 0.750 0.750 0.750
Se 0.750 0.250 0.250
Se 0.250 0.250 0.750
Pm 0.500 0.000 0.000
Pm 0.500 0.500 0.000
Pm 0.500 0.000 0.500
Pm 0.000 0.000 0.500
Pm 0.000 0.500 0.000
Pm 0.000 0.500 0.500
Np 0.000 0.000 0.000

Results
The uncorrected formation energy is -1755 meV per atom. As for the crystal system: cubic. For the density of states at the Fermi level, the calculation gives 17.09 states/eV/f.u.

=====

4.
VASP calculation (PBE-GGA) on a relaxed structure of NbV2Br6.

a = 5.828 Å, b = 9.094 Å, c = 9.094 Å
α = 94.14°, β = 76.91°, γ = 76.91°
Element x y z (fractional)
Br 0.192 0.774 0.928
Br 0.419 0.697 0.506
Br 0.081 0.494 0.303
Br 0.692 0.928 0.774
Br 0.919 0.506 0.697
Br 0.581 0.303 0.494
Br 0.653 0.665 0.084
Br 0.308 0.072 0.226
Br 0.847 0.916 0.335
Br 0.808 0.226 0.072
Br 0.347 0.335 0.916
Br 0.153 0.084 0.665
V 0.368 0.523 0.721
V 0.132 0.279 0.477
V 0.632 0.477 0.279
V 0.868 0.721 0.523
Nb 0.750 0.944 0.056
Nb 0.250 0.056 0.944

Results
The uncorrected formation energy is -529 meV per atom. As for the crystal system: monoclinic. For the density of states at the Fermi level, the calculation gives 2.75 states/eV/f.u.

=====

5.
VASP calculation (PBE-GGA) on a relaxed structure of YCu2Si.

a = 4.204 Å, b = 3.448 Å, c = 4.987 Å
α = 90.07°, β = 90.00°, γ = 90.00°
Element x y z (fractional)
Y 0.500 0.750 0.750
Si 0.500 0.250 0.250
Cu 0.000 0.251 0.002
Cu 0.000 0.249 0.498

Results
The uncorrected formation energy is -250 meV per atom. As for the crystal system: monoclinic. For the density of states at the Fermi level, the calculation gives 2.18 states/eV/f.u.

=====

6.
VASP calculation (PBE-GGA) on a relaxed structure of PrNd4Dy2Er.

a = 3.643 Å, b = 6.278 Å, c = 11.986 Å
α = 79.81°, β = 90.00°, γ = 90.00°
Element x y z (fractional)
Pr 0.000 0.500 0.500
Er 0.500 0.500 0.000
Nd 0.500 0.752 0.246
Nd 0.000 0.250 0.248
Nd 0.000 0.750 0.752
Nd 0.500 0.248 0.754
Dy 0.500 0.000 0.500
Dy 0.000 0.000 0.000

Results
As for the crystal system: monoclinic. For the density of states at the Fermi level, the calculation gives 11.13 states/eV/f.u. For the formation energy, the calculation gives 0.1 eV per formula unit.